[1]
The following is a PBE calculation of crystalline BaNaGa4Pt2 at its relaxed geometry, from OQMD.

POSCAR file:
```
BaNaGa4Pt2
1.0
7.382 0.000 0.000
0.000 2.165 5.535
0.000 -2.165 5.535
Ba Na Ga Pt
1 1 4 2
Cartesian
0.000 0.000 0.000
3.691 0.000 1.274
1.518 0.000 7.929
2.334 0.000 4.268
5.048 0.000 4.268
5.865 0.000 7.929
0.000 0.000 3.050
3.691 0.000 9.326
```

DFT total energy	-3.9926	eV per atom


[2]
The following is a PBE calculation of crystalline NaDyZnSe3 at its relaxed geometry, from OQMD.

POSCAR file:
```
NaDyZnSe3
1.0
10.945 0.000 0.000
0.000 4.057 0.000
0.000 0.000 13.677
Na Dy Zn Se
4 4 4 12
Cartesian
2.389 1.014 0.078
3.084 3.043 6.916
7.861 1.014 6.761
8.557 3.043 13.599
0.170 3.043 10.143
5.303 1.014 3.304
5.642 3.043 10.373
10.776 1.014 3.534
2.576 3.043 2.987
2.897 1.014 9.826
8.048 3.043 3.851
8.370 1.014 10.690
0.537 3.043 1.627
0.978 1.014 8.310
2.598 1.014 4.515
2.874 3.043 11.354
4.495 3.043 1.471
4.935 1.014 8.465
6.010 3.043 5.212
6.450 1.014 12.206
8.071 1.014 2.323
8.347 3.043 9.162
9.968 3.043 5.367
10.408 1.014 12.050
```

energy above the lowest structure with this stoichiometry	0	meV per atom


[3]
The following is a PBE calculation of crystalline Cu3Ag at its relaxed geometry, from OQMD.

POSCAR file:
```
Cu3Ag
1.0
5.357 -1.374 0.000
5.357 1.374 0.000
-5.155 0.000 7.252
Cu Ag
6 2
Cartesian
0.311 0.000 1.250
-2.083 0.000 5.247
3.689 0.000 0.419
1.871 0.000 6.834
7.642 0.000 2.005
5.249 0.000 6.002
1.275 0.000 4.088
4.285 0.000 3.164
```

DFT total energy	-3.4297	eV per atom


[4]
The following is a PBE calculation of crystalline NaGdNiSe3 at its relaxed geometry, from OQMD.

POSCAR file:
```
NaGdNiSe3
1.0
8.312 0.000 0.000
0.000 4.031 0.000
-2.036 0.000 9.029
Na Gd Ni Se
2 2 2 6
Cartesian
1.173 1.008 2.066
5.103 3.023 6.963
0.924 3.023 7.732
5.352 1.008 1.297
-0.550 1.008 5.354
6.825 3.023 3.675
-1.098 1.008 7.707
0.588 3.023 4.773
3.311 3.023 1.551
2.965 1.008 7.478
5.688 1.008 4.256
7.374 3.023 1.322
```

energy above the lowest structure with this stoichiometry	0	meV per atom